# Rb2AgPdN | Alexandria via LeMat-Bulk | PBE | optimized geometry
data_Rb2AgPdN
_cell_length_a 6.336
_cell_length_b 6.336
_cell_length_c 3.768
_cell_angle_alpha 90.00
_cell_angle_beta 90.00
_cell_angle_gamma 90.00
_space_group_name_H-M_alt 'P 1'
_space_group_IT_number 1
loop_
_space_group_symop_operation_xyz
'x,y,z'
loop_
_atom_site_label
_atom_site_type_symbol
_atom_site_fract_x
_atom_site_fract_y
_atom_site_fract_z
Rb1 Rb 0.000 0.500 0.000
Pd1 Pd 0.000 0.000 0.500
Rb2 Rb 0.500 0.000 0.000
Ag1 Ag 0.500 0.500 0.500
N1 N 0.000 0.000 0.000
# uncorrected energy = -3.488 eV per atom
# N(E_F) = 3.5 states/eV/f.u.
# theoretical density = 4.38 g cm⁻³
# formation energy from raw total energies = 173 meV per atom
# volume = 30.26 Å³/atom